Here is SrCo2SbF8 after structural relaxation from Alexandria via LeMat-Bulk. Energies are from GGA+U.

Values from the calculation:
Mass density, g/cm3: 4.59
Total magnetic moment, μB/atom: 0.42
E, eV/atom: -4.955

abc: 4.0920 5.4717 7.8511
angles: 83.41 88.18 82.87
Closest atoms and distances in Å follow each position.
Space group P-1 (No. 2)
One atom of each set of equivalent atoms:
Sr 0.0000 0.0000 0.0000 [1 per cell]  8 F 2.49-2.53
Co 0.4572 0.4634 0.2231 [2 per cell]  5 F 2.11-2.22
Sb 0.0000 0.0000 0.5000 [1 per cell]  8 F 2.26-2.52
F 0.0689 0.7361 0.7572 [2 per cell]  1 Co 2.11, 1 Sb 2.35
F 0.1012 0.7546 0.2866 [2 per cell]  1 Co 2.11, 1 Sb 2.26
F 0.4326 0.2358 0.4575 [2 per cell]  1 Co 2.11, 1 Sb 2.31
F 0.4511 0.2693 0.9896 [2 per cell]  2 Co 2.15-2.22